# 1
Material: Ag4TeCl
Method: DFT, PBE
State: optimized geometry

a = 7.0675 Å, b = 7.0675 Å, c = 6.7682 Å
α = 107.92°, β = 107.92°, γ = 106.32°
Atoms (fractional coordinates):
Ag (0.0801, 0.5926, 0.7624)
Ag (0.1039, 0.1918, 0.4795)
Ag (0.1918, 0.1039, 0.9795)
Ag (0.4074, 0.9199, 0.7376)
Ag (0.5926, 0.0801, 0.2624)
Ag (0.8082, 0.8961, 0.0205)
Ag (0.8961, 0.8082, 0.5205)
Ag (0.9199, 0.4074, 0.2376)
Te (0.1799, 0.8201, 0.2500)
Te (0.8201, 0.1799, 0.7500)
Cl (0.4663, 0.5337, 0.7500)
Cl (0.5337, 0.4663, 0.2500)

- SG: No. 15
- Total moment: 0.00 μB per cell
- Energy relative to the elements, uncorrected: -0.0549 eV per atom
- Final energy: -2.79 eV per atom
- N(E_F): 3.27 states/eV/cell
- Crystal system: monoclinic

---

# 2
Material: Ag4Te2Cl5
Method: DFT, PBE
State: optimized geometry

a = 3.9219 Å, b = 7.7875 Å, c = 10.8831 Å
α = 100.62°, β = 100.32°, γ = 104.52°
Atoms (fractional coordinates):
Ag (0.0367, 0.3815, 0.1918)
Ag (0.1543, 0.1454, 0.6652)
Ag (0.8457, 0.8546, 0.3348)
Ag (0.9633, 0.6185, 0.8082)
Te (0.1241, 0.6752, 0.0745)
Te (0.8759, 0.3248, 0.9255)
Cl (0.1416, 0.9538, 0.8306)
Cl (0.3172, 0.4789, 0.6541)
Cl (0.5000, 0.0000, 0.5000)
Cl (0.6828, 0.5211, 0.3459)
Cl (0.8584, 0.0462, 0.1694)

- SG: No. 2
- Total moment: 0.00 μB per cell
- Energy relative to the elements, uncorrected: -0.3054 eV per atom
- Final energy: -2.75 eV per atom
- N(E_F): 2.31 states/eV/cell
- Crystal system: triclinic

---

# 3
Material: TlAg2TeCl8
Method: DFT, PBE
State: optimized geometry

a = 6.4230 Å, b = 6.5280 Å, c = 8.5504 Å
α = 94.84°, β = 94.88°, γ = 92.44°
Atoms (fractional coordinates):
Tl (0.0000, 0.0000, 0.0000)
Ag (0.4571, 0.4606, 0.7718)
Ag (0.5429, 0.5394, 0.2282)
Te (0.0000, 0.0000, 0.5000)
Cl (0.1944, 0.8024, 0.2875)
Cl (0.2222, 0.8315, 0.7147)
Cl (0.2759, 0.3034, 0.5113)
Cl (0.3080, 0.3206, 0.0236)
Cl (0.6920, 0.6794, 0.9764)
Cl (0.7241, 0.6966, 0.4887)
Cl (0.7778, 0.1685, 0.2853)
Cl (0.8056, 0.1976, 0.7125)

- SG: No. 2
- Total moment: 0.00 μB per cell
- Energy relative to the elements, uncorrected: -0.5560 eV per atom
- Final energy: -2.72 eV per atom
- N(E_F): 3.08 states/eV/cell
- Crystal system: triclinic